Record 1
Entry from Alexandria: TaCuSeN2 after structural relaxation (PBE).

Output
uncorrected formation energy = 32.98 kcal/mol of atoms
V = 66.6 Å³/cell
DOS(E_F) = 3.7 states/eV/cell
uncorrected energy = -0.425 Ry per atom

Lattice parameters (Å, degrees): 3.8053 3.8053 4.5991 90.00 90.00 90.00
With the nearest neighbours (Å) after each atom.
Element x y z (fractional)
N 0.0000 0.5000 0.0000  2 Cu 1.90
N 0.5000 0.0000 0.0000  2 Cu 1.90
Cu 0.0000 0.0000 0.0000  4 N 1.90
Se 0.0000 0.0000 0.5000  2 Cu 2.30
Ta 0.5000 0.5000 0.5000  4 Se 2.69, 8 N 2.98

Record 2
Entry from Alexandria: Tb2AgRh2 after structural relaxation (PBE).

Output
energy of formation from the pure elements = -453 meV per atom
V = 110.6 Å³/cell
DOS(E_F) = 3.1 states/eV/cell
uncorrected energy = -0.427 Ry per atom

Lattice parameters (Å, degrees): 4.7501 4.7501 5.6611 90.00 90.00 120.00
With the nearest neighbours (Å) after each atom.
Element x y z (fractional)
Tb 0.3333 0.6667 0.3110  5 Rh 2.78-2.88
Tb 0.6667 0.3333 0.6890  5 Rh 2.78-2.88
Ag 0.0000 0.0000 0.0000  6 Rh 2.93, 6 Tb 3.26
Rh 0.3333 0.6667 0.8196  5 Tb 2.78-2.88, 3 Ag 2.93
Rh 0.6667 0.3333 0.1804  5 Tb 2.78-2.88, 3 Ag 2.93

Record 3
Entry from Alexandria: PuUAlRu after structural relaxation (PBE).

Output
energy of formation from the pure elements = -233 meV per atom
V = 74.0 Å³/cell
DOS(E_F) = 6.0 states/eV/cell
uncorrected energy = -0.727 Ry per atom

Lattice parameters (Å, degrees): 4.7135 4.7135 4.7135 60.00 60.00 60.00
With the nearest neighbours (Å) after each atom.
Element x y z (fractional)
Ru 0.2500 0.2500 0.2500  4 Al 2.89, 4 U 2.89
U 0.0000 0.0000 0.0000  4 Ru 2.89, 4 Pu 2.89
Al 0.5000 0.5000 0.5000  4 Pu 2.89, 4 Ru 2.89
Pu 0.7500 0.7500 0.7500  4 U 2.89, 4 Al 2.89

Record 4
Entry from Alexandria: Cs3TcSe after structural relaxation (PBE).

Output
uncorrected formation energy = 11.40 kcal/mol of atoms
V = 336.8 Å³/cell
DOS(E_F) = 48.3 states/eV/cell
uncorrected energy = -0.205 Ry per atom

Lattice parameters (Å, degrees): 6.9572 6.9572 6.9572 90.00 90.00 90.00
With the nearest neighbours (Å) after each atom.
Element x y z (fractional)
Cs 0.0000 0.5000 0.0000  2 Se 3.48
Cs 0.0000 0.0000 0.5000  2 Se 3.48
Cs 0.5000 0.0000 0.0000  2 Se 3.48
Tc 0.5000 0.5000 0.5000  12 Cs 4.92
Se 0.0000 0.0000 0.0000  6 Cs 3.48

Record 5
Entry from Alexandria: RbU4O10 after structural relaxation (PBE).

Output
uncorrected formation energy = -70.55 kcal/mol of atoms
V = 213.0 Å³/cell
DOS(E_F) = 18.0 states/eV/cell
uncorrected energy = -0.694 Ry per atom

Lattice parameters (Å, degrees): 3.7934 3.7934 15.0445 97.24 97.24 90.00
With the nearest neighbours (Å) after each atom.
Element x y z (fractional)
Rb 0.0000 0.0000 0.0000  8 O 2.89
U 0.3929 0.3929 0.7858  4 O 2.14
U 0.7969 0.7969 0.5939  8 O 2.27-2.35
U 0.2031 0.2031 0.4061  8 O 2.27-2.35
U 0.6071 0.6071 0.2142  4 O 2.14
O 0.6607 0.1607 0.3213  4 U 2.27-2.47
O 0.0735 0.5735 0.1469  2 U 2.14
O 0.4265 0.9265 0.8531  2 U 2.14
O 0.8393 0.3393 0.6787  4 U 2.27-2.47
O 0.2500 0.7500 0.5000  4 U 2.35
O 0.5735 0.0735 0.1469  2 U 2.14
O 0.9265 0.4265 0.8531  2 U 2.14
O 0.3393 0.8393 0.6787  4 U 2.27-2.47
O 0.7500 0.2500 0.5000  4 U 2.35
O 0.1607 0.6607 0.3213  4 U 2.27-2.47

Record 6
Entry from Alexandria: NaHfOs2I after structural relaxation (PBE).

Output
uncorrected formation energy = 44.62 kcal/mol of atoms
V = 116.4 Å³/cell
DOS(E_F) = 5.3 states/eV/cell
uncorrected energy = -0.376 Ry per atom

Lattice parameters (Å, degrees): 4.9043 4.8405 4.9043 90.00 90.00 90.00
With the nearest neighbours (Å) after each atom.
Element x y z (fractional)
I 0.0000 0.0000 0.0000  2 Na 2.42, 4 Os 2.45
Hf 0.5000 0.5000 0.5000  8 Os 3.45, 4 Na 3.47
Os 0.0000 0.0000 0.5000  2 I 2.45
Os 0.5000 0.0000 0.0000  2 I 2.45
Na 0.0000 0.5000 0.0000  2 I 2.42

Record 7
Entry from Alexandria: CdIn2Tc after structural relaxation (PBE).

Output
energy of formation from the pure elements = 354 meV per atom
V = 80.9 Å³/cell
DOS(E_F) = 2.2 states/eV/cell
uncorrected energy = -0.282 Ry per atom

Lattice parameters (Å, degrees): 3.1763 5.4036 5.8216 54.03 90.00 90.00
With the nearest neighbours (Å) after each atom.
Element x y z (fractional)
Cd 0.0000 0.0000 0.5000  6 In 2.91-3.01, 4 Tc 3.13, 2 Cd 3.18
In 0.0000 0.0000 0.0000  2 Cd 2.91, 4 Tc 3.01, 6 In 3.13-3.18
In 0.5000 0.5000 0.0000  2 Tc 2.91, 4 Cd 3.01, 6 In 3.13-3.18
Tc 0.5000 0.5000 0.5000  6 In 2.91-3.01, 4 Cd 3.13, 2 Tc 3.18

Record 8
Entry from Alexandria: Ba2InPb after structural relaxation (PBE).

Output
energy of formation from the pure elements = -238 meV per atom
V = 172.6 Å³/cell
DOS(E_F) = 4.2 states/eV/cell
uncorrected energy = -0.207 Ry per atom

Lattice parameters (Å, degrees): 11.1484 11.1484 11.1484 22.14 22.14 22.14
With the nearest neighbours (Å) after each atom.
Element x y z (fractional)
Ba 0.0012 0.0012 0.0012  3 Pb 3.64, 3 In 3.70
Ba 0.4988 0.4988 0.4988  3 Pb 3.64, 3 In 3.70
In 0.2500 0.2500 0.2500  6 Ba 3.70
Pb 0.7500 0.7500 0.7500  6 Ba 3.64

Record 9
Entry from Alexandria: InCoAg2 after structural relaxation (PBE).

Output
energy of formation from the pure elements = 210 meV per atom
V = 68.7 Å³/cell
DOS(E_F) = 2.4 states/eV/cell
uncorrected energy = -0.270 Ry per atom

Lattice parameters (Å, degrees): 5.6566 5.6566 5.6566 148.95 132.14 58.15
With the nearest neighbours (Å) after each atom.
Element x y z (fractional)
Ag 0.9764 0.9764 0.0000  2 Co 2.70, 4 Ag 2.79
Ag 0.5236 0.5236 0.0000  2 Co 2.70, 4 Ag 2.79
Co 0.7500 0.2500 0.5000  4 Ag 2.70, 4 In 2.75
In 0.2500 0.7500 0.5000  4 Co 2.75, 2 In 3.03

Record 10
Entry from Alexandria: DyPdRuPb after structural relaxation (PBE).

Output
energy of formation from the pure elements = -328 meV per atom
V = 78.1 Å³/cell
DOS(E_F) = 3.8 states/eV/cell
uncorrected energy = -0.443 Ry per atom

Lattice parameters (Å, degrees): 4.7970 4.7970 4.7970 60.00 60.00 60.00
With the nearest neighbours (Å) after each atom.
Element x y z (fractional)
Pb 0.0000 0.0000 0.0000  4 Pd 2.94, 4 Ru 2.94
Ru 0.7500 0.7500 0.7500  4 Pb 2.94, 4 Dy 2.94
Pd 0.2500 0.2500 0.2500  4 Dy 2.94, 4 Pb 2.94
Dy 0.5000 0.5000 0.5000  4 Ru 2.94, 4 Pd 2.94

Record 11
Entry from Alexandria: Er8As3Se3S after structural relaxation (PBE).

Output
uncorrected formation energy = -35.91 kcal/mol of atoms
V = 366.3 Å³/cell
DOS(E_F) = 6.0 states/eV/cell
uncorrected energy = -0.433 Ry per atom

Lattice parameters (Å, degrees): 8.0376 8.0379 8.0247 120.05 90.00 120.00
With the nearest neighbours (Å) after each atom.
Element x y z (fractional)
Er 0.2461 0.4921 0.2382  3 As 2.80, 3 Se 2.88
Er 0.7539 0.5079 0.7618  3 As 2.80, 3 Se 2.88
Er 0.7557 0.5114 0.2498  1 S 2.78, 2 As 2.81, 2 Se 2.87
Er 0.2443 0.4886 0.7502  1 S 2.78, 2 As 2.81, 2 Se 2.87
Er 0.7557 0.9941 0.2498  1 S 2.77, 2 As 2.81, 2 Se 2.87
Er 0.2443 0.0059 0.7502  1 S 2.77, 2 As 2.81, 2 Se 2.87
Er 0.2384 0.9941 0.2498  1 S 2.78, 2 As 2.81, 2 Se 2.87
Er 0.7616 0.0059 0.7502  1 S 2.78, 2 As 2.81, 2 Se 2.87
As 0.0000 0.0000 0.0000  6 Er 2.80-2.81
As 0.0000 0.5000 0.0000  6 Er 2.80-2.81
As 0.5000 0.5000 0.0000  6 Er 2.80-2.81
Se 0.5000 0.0000 0.5000  6 Er 2.87-2.88
Se 0.5000 0.5000 0.5000  6 Er 2.87-2.88
Se 0.0000 0.5000 0.5000  6 Er 2.87-2.88
S 0.0000 0.0000 0.5000  6 Er 2.77-2.78

Record 12
Entry from Alexandria: Tb12Sm6Ho after structural relaxation (PBE).

Output
energy of formation from the pure elements = 210 meV per atom
V = 641.8 Å³/cell
DOS(E_F) = 31.9 states/eV/cell
uncorrected energy = -0.327 Ry per atom

Lattice parameters (Å, degrees): 8.7393 8.7393 8.7393 98.70 98.70 98.70
With the nearest neighbours (Å) after each atom.
Element x y z (fractional)
Tb 0.7583 0.2417 0.5000  6 Tb 3.35-3.54, 4 Sm 3.50-3.56
Tb 0.3556 0.0832 0.3556  6 Tb 3.35-3.61, 2 Sm 3.73
Tb 0.3556 0.3556 0.0832  6 Tb 3.35-3.61, 2 Sm 3.73
Tb 0.9168 0.6444 0.6444  6 Tb 3.35-3.61, 2 Sm 3.73
Tb 0.6444 0.6444 0.9168  6 Tb 3.35-3.61, 2 Sm 3.73
Tb 0.6444 0.9168 0.6444  6 Tb 3.35-3.61, 2 Sm 3.73
Tb 0.5000 0.7583 0.2417  6 Tb 3.35-3.54, 4 Sm 3.50-3.56
Tb 0.2417 0.5000 0.7583  6 Tb 3.35-3.54, 4 Sm 3.50-3.56
Tb 0.2417 0.7583 0.5000  6 Tb 3.35-3.54, 4 Sm 3.50-3.56
Tb 0.5000 0.2417 0.7583  6 Tb 3.35-3.54, 4 Sm 3.50-3.56
Tb 0.7583 0.5000 0.2417  6 Tb 3.35-3.54, 4 Sm 3.50-3.56
Tb 0.0832 0.3556 0.3556  6 Tb 3.35-3.61, 2 Sm 3.73
Sm 0.9039 0.3419 0.9039  1 Sm 3.10, 1 Ho 3.41
Sm 0.9039 0.9039 0.3419  1 Sm 3.10, 1 Ho 3.41
Sm 0.3419 0.9039 0.9039  1 Sm 3.10, 1 Ho 3.41
Sm 0.0961 0.0961 0.6581  1 Sm 3.10, 1 Ho 3.41
Sm 0.0961 0.6581 0.0961  1 Sm 3.10, 1 Ho 3.41
Sm 0.6581 0.0961 0.0961  1 Sm 3.10, 1 Ho 3.41
Ho 0.0000 0.0000 0.0000  6 Sm 3.41

Repeat the first record exactly.
Entry from Alexandria: TaCuSeN2 after structural relaxation (PBE).

Output
uncorrected formation energy = 32.98 kcal/mol of atoms
V = 66.6 Å³/cell
DOS(E_F) = 3.7 states/eV/cell
uncorrected energy = -0.425 Ry per atom

Lattice parameters (Å, degrees): 3.8053 3.8053 4.5991 90.00 90.00 90.00
With the nearest neighbours (Å) after each atom.
Element x y z (fractional)
N 0.0000 0.5000 0.0000  2 Cu 1.90
N 0.5000 0.0000 0.0000  2 Cu 1.90
Cu 0.0000 0.0000 0.0000  4 N 1.90
Se 0.0000 0.0000 0.5000  2 Cu 2.30
Ta 0.5000 0.5000 0.5000  4 Se 2.69, 8 N 2.98

- Among the records above, which one has the lowest V?
  TaCuSeN2

- uncorrected energy of number 2 (Tb2AgRh2)?
  -0.427 Ry per atom